# 1
4
Lattice="-1.8964 2.2349 0.9984 -3.7868 -2.2504 -2.1553 -0.8957 -2.7420 4.4365" Properties=species:S:1:pos:R:3 comment="LaAgW2, relaxed, DFT PBE" dos_at_fermi_per_ev_cell=3.40 e_tot_ev_per_atom=-7.624 delta_e_f_ev_per_atom=0.797 pbc="T T T"
Ag -1.3960 -0.2535 2.7175
W 0.0000 0.0000 0.0000
W -2.8416 -0.0077 -0.5785
La -2.3413 -2.4962 1.1406

# 2
4
Lattice="4.4941 0.0000 0.0000 0.0000 4.3011 0.0000 0.0000 0.0000 4.3011" Properties=species:S:1:pos:R:3 comment="LaAg2W, relaxed, DFT PBE" dos_at_fermi_per_ev_cell=3.81 e_tot_ev_per_atom=-5.296 delta_e_f_ev_per_atom=0.600 pbc="T T T"
Ag 0.0000 0.0000 0.0000
Ag 0.0000 2.1505 2.1505
W 2.2471 0.0000 2.1505
La 2.2471 2.1505 0.0000

# 3
4
Lattice="-3.2968 0.4441 0.4478 -0.8831 -2.8425 -3.6824 -0.1186 -4.1006 3.1937" Properties=species:S:1:pos:R:3 comment="LaAg2W, relaxed, DFT PBE" dos_at_fermi_per_ev_cell=3.26 e_tot_ev_per_atom=-5.280 delta_e_f_ev_per_atom=0.615 pbc="T T T"
Ag 0.0000 0.0000 0.0000
Ag -2.0899 -1.1992 -1.6173
W -0.5008 -3.4715 -0.2444
La -1.7077 -1.8282 1.8208

# 4
4
Lattice="-2.4351 1.4979 -0.7961 -1.3967 -0.0005 4.2711 2.9668 5.3390 0.9709" Properties=species:S:1:pos:R:3 comment="LaAg2W, relaxed, DFT PBE" dos_at_fermi_per_ev_cell=4.64 e_tot_ev_per_atom=-5.337 delta_e_f_ev_per_atom=0.559 pbc="T T T"
Ag 2.8697 5.1642 0.9391
Ag 1.5805 2.8443 0.5172
W 0.3092 4.7530 2.4656
La -1.1742 2.0835 1.9802

# 5
4
Lattice="0.1285 -2.2037 -1.9353 2.7212 -0.6345 0.9003 -3.5048 -5.8726 6.4546" Properties=species:S:1:pos:R:3 comment="LaAg2W, relaxed, DFT PBE" dos_at_fermi_per_ev_cell=3.64 e_tot_ev_per_atom=-5.462 delta_e_f_ev_per_atom=0.434 pbc="T T T"
Ag -3.4914 -5.8502 6.4299
Ag 0.6560 -2.7075 0.8985
W -1.3050 -5.9933 4.5099
La -1.7719 -2.9689 3.2631

# 6
5
Lattice="-3.3651 -3.8159 -0.1943 1.5126 -1.5682 4.6017 -3.5087 2.9837 2.1701" Properties=species:S:1:pos:R:3 comment="LaAg3W, relaxed, DFT PBE" dos_at_fermi_per_ev_cell=6.97 e_tot_ev_per_atom=-4.353 delta_e_f_ev_per_atom=0.934 pbc="T T T"
Ag 0.7563 -0.7841 2.3008
Ag -1.7543 1.4918 1.0850
Ag -1.6825 -1.9079 -0.0971
W 0.0000 0.0000 0.0000
La -2.6806 -1.2002 3.2887

Question: Which formula does entry 4 have?
Answer: LaAg2W